(1)
The following is a PBE-GGA calculation of NiTe2 after structural relaxation, from Alexandria.

E_tot: -4.00 eV per atom

Cell and atoms, written as CIF:
```
data_NiTe2
_symmetry_space_group_name_H-M 'C m c m'
_symmetry_Int_Tables_number 63
_symmetry_space_group_name_Hall '-C 2c 2'
_cell_length_a 3.542
_cell_length_b 25.477
_cell_length_c 3.209
_cell_angle_alpha 90.00
_cell_angle_beta 90.00
_cell_angle_gamma 90.00
loop_
_atom_site_label
_atom_site_type_symbol
_atom_site_fract_x
_atom_site_fract_y
_atom_site_fract_z
Ni1 Ni 0.000 0.112 0.250
Te1 Te 0.000 0.314 0.750
Te2 Te 0.000 0.437 0.250
```

---

(2)
The following is a PBE-GGA calculation of Ni5Te after structural relaxation, from Alexandria.

Energy relative to the lowest polymorph listed for this composition: 179 meV/atom

Cell and atoms, written as CIF:
```
data_Ni5Te
_symmetry_space_group_name_H-M 'F -4 3 m'
_symmetry_Int_Tables_number 216
_symmetry_space_group_name_Hall 'F -4 2 3'
_cell_length_a 6.754
_cell_length_b 6.754
_cell_length_c 6.754
_cell_angle_alpha 90.00
_cell_angle_beta 90.00
_cell_angle_gamma 90.00
loop_
_atom_site_label
_atom_site_type_symbol
_atom_site_fract_x
_atom_site_fract_y
_atom_site_fract_z
Ni1 Ni 0.000 0.000 0.000
Ni2 Ni 0.126 0.126 0.374
Te1 Te 0.250 0.250 0.750
```